This record from the Alexandria database describes Li2SbAu8 after structural relaxation. The functional is GGA-PBE.

Cell and atoms, written as POSCAR:
```
Li2SbAu8
1.0
-1.110 3.038 -4.020
-5.003 -2.647 -0.618
0.693 2.697 9.073
Li Sb Au
2 1 8
direct
0.133 0.658 0.317
0.867 0.342 0.683
0.500 0.000 0.000
0.660 0.914 0.337
0.340 0.577 0.663
0.183 0.172 0.344
0.000 0.259 0.000
0.817 0.828 0.656
0.660 0.423 0.337
0.340 0.086 0.663
0.000 0.741 0.000
```

## Properties
* density: 13.64 Mg/m³
* raw formation energy: -0.2110 eV per atom
* symmetry: C2/m (12)
* DOS(E_F): 2.7 states/eV per cell